The following is a DFT calculation (GGA-PBE) of a relaxed BeRe2RhAu crystal.

Lattice parameters (Å, degrees): 4.7254 4.7254 3.9845 90.00 90.00 90.00
Last column: nearest neighbours and their distance in Å.
Positions (direct):
Be (0.0000, 0.0000, 0.0000)  2 Rh 1.99
Re (0.0000, 0.5000, 0.5000)  2 Rh 2.36
Re (0.5000, 0.0000, 0.5000)  2 Rh 2.36
Rh (0.0000, 0.0000, 0.5000)  2 Be 1.99
Au (0.5000, 0.5000, 0.0000)  8 Re 3.09, 4 Be 3.34

**Symmetry**: P4/mmm, No. 123
**Formation energy**: 1584 meV/atom



The following is a DFT calculation (GGA-PBE) of a relaxed Pm2PaPdSe5 crystal.

Lattice parameters (Å, degrees): 8.8718 8.8718 12.6729 90.00 90.00 153.83
Last column: nearest neighbours and their distance in Å.
Positions (direct):
Pm (0.0978, 0.9022, 0.5000)  5 Se 2.97-3.07
Pm (0.1210, 0.8790, 0.8429)  8 Se 2.99-3.21
Pm (0.8790, 0.1210, 0.3429)  8 Se 2.99-3.21
Pm (0.9022, 0.0978, 0.0000)  5 Se 2.97-3.07
Pa (0.1790, 0.8210, 0.1646)  6 Se 2.80-2.91, 2 Pd 3.13
Pa (0.8210, 0.1790, 0.6646)  6 Se 2.80-2.91, 2 Pd 3.13
Pd (0.4384, 0.5616, 0.5644)  4 Se 2.51-2.56
Pd (0.5616, 0.4384, 0.0644)  4 Se 2.51-2.56
Se (0.0172, 0.9828, 0.1741)  2 Pd 2.56, 1 Pa 2.80
Se (0.2992, 0.7008, 0.5009)  1 Pd 2.54
Se (0.3061, 0.6939, 0.8274)  2 Pa 2.89, 1 Pm 3.21
Se (0.3449, 0.6551, 0.1658)  1 Pa 2.87, 4 Pm 3.07
Se (0.4972, 0.5028, 0.8864)  1 Pd 2.51
Se (0.5028, 0.4972, 0.3864)  1 Pd 2.51
Se (0.6551, 0.3449, 0.6658)  1 Pa 2.87, 4 Pm 3.07
Se (0.6939, 0.3061, 0.3274)  2 Pa 2.89, 1 Pm 3.21
Se (0.7008, 0.2992, 0.0009)  1 Pd 2.54
Se (0.9828, 0.0172, 0.6741)  2 Pd 2.56, 1 Pa 2.80

**Formation energy from raw total energies**: -1467 meV/atom
**Symmetry**: Cmc2_1, No. 36



Total magnetization across the listed records, respectively: 0.0, 1.3 Bohr magnetons per cell.